First-principles (PBE) data for an optimized crystal structure of La2ScAg, as listed in Alexandria via LeMat-Bulk.

As for the energy above the lowest structure with this stoichiometry: 0 kJ/mol of formula units. The value obtained for the density of states at the Fermi level is 1.313 states/eV per atom. Its total energy is -4.854 eV per atom. The value obtained for the formation energy is -0.095 eV per atom. The value obtained for the spin magnetization is 0.00 Bohr magnetons per cell.

The structure belongs to space group P4mm (No. 99); the cell edges are 3.612, 3.612 and 8.745 Å and the angles 90.00°, 90.00° and 90.00°. Symmetry generates all atoms from La at (0.000, 0.000, 0.000), La at (0.500, 0.500, 0.314), Sc at (0.000, 0.000, 0.587) and Ag at (0.500, 0.500, 0.754).